Entry 1:
Compound: BiRu
Source: Alexandria via LeMat-Bulk
Functional: GGA-PBE
Structure: relaxed

```
data_BiRu
_chemical_formula_sum 'Bi8 Ru8'
_symmetry_space_group_name_H-M 'P 21 21 21'
_symmetry_Int_Tables_number 19
_cell_length_a 5.586
_cell_length_b 7.548
_cell_length_c 8.655
_cell_angle_alpha 90.00
_cell_angle_beta 90.00
_cell_angle_gamma 90.00
loop_
_symmetry_equiv_pos_as_xyz
'x,y,z'
'-x+1/2,-y,z+1/2'
'x+1/2,-y+1/2,-z'
'-x,y+1/2,-z+1/2'
loop_
_atom_site_label
_atom_site_type_symbol
_atom_site_fract_x
_atom_site_fract_y
_atom_site_fract_z
Bi1 Bi 0.004 0.137 0.157
Bi2 Bi 0.004 0.671 0.894
Ru1 Ru 0.025 0.817 0.608
Ru2 Ru 0.226 0.485 0.615
```

Calculated values
E_form in eV/atom: 0.415
DOS at the Fermi energy in states/eV/f.u.: 2.44

Entry 2:
Compound: ReAs
Source: Alexandria via LeMat-Bulk
Functional: GGA-PBE
Structure: relaxed

```
data_ReAs
_chemical_formula_sum 'Re4 As4'
_symmetry_space_group_name_H-M 'F -4 3 m'
_symmetry_Int_Tables_number 216
_symmetry_space_group_name_Hall 'F -4 2 3'
_cell_length_a 5.574
_cell_length_b 5.574
_cell_length_c 5.574
_cell_angle_alpha 90.00
_cell_angle_beta 90.00
_cell_angle_gamma 90.00
loop_
_atom_site_label
_atom_site_type_symbol
_atom_site_fract_x
_atom_site_fract_y
_atom_site_fract_z
Re1 Re 0.000 0.000 0.000
As1 As 0.250 0.250 0.250
```

Calculated values
E_form in eV/atom: 0.908
DOS at the Fermi energy in states/eV/f.u.: 3.28

Entry 3:
Compound: Ba4GeAs4
Source: Alexandria via LeMat-Bulk
Functional: GGA-PBE
Structure: relaxed

```
data_Ba4GeAs4
_chemical_formula_sum 'Ba32 Ge8 As32'
_symmetry_space_group_name_H-M 'P -4 3 n'
_symmetry_Int_Tables_number 218
_symmetry_space_group_name_Hall 'P -4n 2 3'
_cell_length_a 13.566
_cell_length_b 13.566
_cell_length_c 13.566
_cell_angle_alpha 90.00
_cell_angle_beta 90.00
_cell_angle_gamma 90.00
loop_
_atom_site_label
_atom_site_type_symbol
_atom_site_fract_x
_atom_site_fract_y
_atom_site_fract_z
Ba1 Ba 0.097 0.131 0.643
Ba2 Ba 0.143 0.143 0.143
Ge1 Ge 0.000 0.000 0.000
Ge2 Ge 0.000 0.500 0.250
As1 As 0.105 0.385 0.649
As2 As 0.107 0.107 0.893
```

Calculated values
E_form in eV/atom: -0.977

Entry 4:
Compound: TaIrPt
Source: Alexandria via LeMat-Bulk
Functional: GGA-PBE
Structure: relaxed

```
data_TaIrPt
_chemical_formula_sum 'Ta2 Ir2 Pt2'
_symmetry_space_group_name_H-M 'P 63/m m c'
_symmetry_Int_Tables_number 194
_symmetry_space_group_name_Hall '-P 6c 2c'
_cell_length_a 4.4901
_cell_length_b 4.4901
_cell_length_c 5.5458
_cell_angle_alpha 90.00
_cell_angle_beta 90.00
_cell_angle_gamma 120.00
loop_
_atom_site_label
_atom_site_type_symbol
_atom_site_fract_x
_atom_site_fract_y
_atom_site_fract_z
Ta1 Ta 0.3333 0.6667 0.2500
Ir1 Ir 0.0000 0.0000 0.0000
Pt1 Pt 0.3333 0.6667 0.7500
```

Calculated values
E_form in eV/atom: -0.537
DOS at the Fermi energy in states/eV/f.u.: 1.32

Entry 5:
Compound: K2TcAu
Source: Alexandria via LeMat-Bulk
Functional: GGA-PBE
Structure: relaxed

```
data_K2TcAu
_chemical_formula_sum 'K4 Tc2 Au2'
_symmetry_space_group_name_H-M 'I m m 2'
_symmetry_Int_Tables_number 44
_cell_length_a 4.668
_cell_length_b 5.882
_cell_length_c 9.514
_cell_angle_alpha 90.00
_cell_angle_beta 90.00
_cell_angle_gamma 90.00
loop_
_symmetry_equiv_pos_as_xyz
'x,y,z'
'-x,-y,z'
'-x,y,z'
'x,-y,z'
'x+1/2,y+1/2,z+1/2'
'-x+1/2,-y+1/2,z+1/2'
'-x+1/2,y+1/2,z+1/2'
'x+1/2,-y+1/2,z+1/2'
loop_
_atom_site_label
_atom_site_type_symbol
_atom_site_fract_x
_atom_site_fract_y
_atom_site_fract_z
K1 K 0.000 0.000 0.000
K2 K 0.000 0.500 0.193
Tc1 Tc 0.000 0.500 0.792
Au1 Au 0.000 0.000 0.407
```

Calculated values
E_form in eV/atom: 0.803
DOS at the Fermi energy in states/eV/f.u.: 2.98

Entry 6:
Compound: MnCdMoAs2
Source: Alexandria via LeMat-Bulk
Functional: GGA-PBE
Structure: relaxed

```
data_MnCdMoAs2
_chemical_formula_sum 'Mn1 Cd1 Mo1 As2'
_symmetry_space_group_name_H-M 'P 4/m m m'
_symmetry_Int_Tables_number 123
_symmetry_space_group_name_Hall '-P 4 2'
_cell_length_a 4.549
_cell_length_b 4.549
_cell_length_c 5.017
_cell_angle_alpha 90.00
_cell_angle_beta 90.00
_cell_angle_gamma 90.00
loop_
_atom_site_label
_atom_site_type_symbol
_atom_site_fract_x
_atom_site_fract_y
_atom_site_fract_z
Mn1 Mn 0.000 0.000 0.000
Cd1 Cd 0.000 0.000 0.500
Mo1 Mo 0.500 0.500 0.500
As1 As 0.000 0.500 0.000
```

Calculated values
E_form in eV/atom: 0.845
DOS at the Fermi energy in states/eV/f.u.: 2.94

Entry 7:
Compound: Cd3InGaHg
Source: Alexandria via LeMat-Bulk
Functional: GGA-PBE
Structure: relaxed

```
data_Cd3InGaHg
_chemical_formula_sum 'Cd6 In2 Ga2 Hg2'
_symmetry_space_group_name_H-M 'P 1 21/m 1'
_symmetry_Int_Tables_number 11
_cell_length_a 9.283
_cell_length_b 3.288
_cell_length_c 9.938
_cell_angle_alpha 90.00
_cell_angle_beta 108.99
_cell_angle_gamma 90.00
loop_
_symmetry_equiv_pos_as_xyz
'x,y,z'
'-x,-y,-z'
'-x,y+1/2,-z'
'x,-y+1/2,z'
loop_
_atom_site_label
_atom_site_type_symbol
_atom_site_fract_x
_atom_site_fract_y
_atom_site_fract_z
Cd1 Cd 0.164 0.250 0.052
Cd2 Cd 0.209 0.250 0.544
Cd3 Cd 0.253 0.750 0.811
In1 In 0.059 0.750 0.273
Ga1 Ga 0.459 0.750 0.105
Hg1 Hg 0.448 0.250 0.355
```

Calculated values
E_form in eV/atom: 0.047
DOS at the Fermi energy in states/eV/f.u.: 1.41

Entry 8:
Compound: Li6PmAl12
Source: Alexandria via LeMat-Bulk
Functional: GGA-PBE
Structure: relaxed

```
data_Li6PmAl12
_chemical_formula_sum 'Li18 Pm3 Al36'
_symmetry_space_group_name_H-M 'R -3 m'
_symmetry_Int_Tables_number 166
_symmetry_space_group_name_Hall '-R 3 2"'
_cell_length_a 11.3900
_cell_length_b 11.3900
_cell_length_c 9.3081
_cell_angle_alpha 90.00
_cell_angle_beta 90.00
_cell_angle_gamma 120.00
loop_
_atom_site_label
_atom_site_type_symbol
_atom_site_fract_x
_atom_site_fract_y
_atom_site_fract_z
Li1 Li 0.0510 0.5255 0.2395
Pm1 Pm 0.0000 0.0000 0.0000
Al1 Al 0.0000 0.3870 0.5000
Al2 Al 0.0854 0.1709 0.3038
```

Calculated values
E_form in eV/atom: 0.073
DOS at the Fermi energy in states/eV/f.u.: 8.95

Entry 9:
Compound: SrINF2
Source: Alexandria via LeMat-Bulk
Functional: GGA-PBE
Structure: relaxed

```
data_SrINF2
_chemical_formula_sum 'Sr1 I1 N1 F2'
_symmetry_space_group_name_H-M 'P 4/m m m'
_symmetry_Int_Tables_number 123
_symmetry_space_group_name_Hall '-P 4 2'
_cell_length_a 4.556
_cell_length_b 4.556
_cell_length_c 6.355
_cell_angle_alpha 90.00
_cell_angle_beta 90.00
_cell_angle_gamma 90.00
loop_
_atom_site_label
_atom_site_type_symbol
_atom_site_fract_x
_atom_site_fract_y
_atom_site_fract_z
Sr1 Sr 0.000 0.000 0.000
I1 I 0.500 0.500 0.500
N1 N 0.000 0.000 0.500
F1 F 0.000 0.500 0.000
```

Calculated values
Uncorrected formation energy in meV per atom: -929
DOS at the Fermi energy in states/eV/f.u.: 5.78

Entry 10:
Compound: TlAg3W
Source: Alexandria via LeMat-Bulk
Functional: GGA-PBE
Structure: relaxed

```
data_TlAg3W
_chemical_formula_sum 'Tl1 Ag3 W1'
_symmetry_space_group_name_H-M 'P m -3 m'
_symmetry_Int_Tables_number 221
_symmetry_space_group_name_Hall '-P 4 2 3'
_cell_length_a 5.175
_cell_length_b 5.175
_cell_length_c 5.175
_cell_angle_alpha 90.00
_cell_angle_beta 90.00
_cell_angle_gamma 90.00
loop_
_atom_site_label
_atom_site_type_symbol
_atom_site_fract_x
_atom_site_fract_y
_atom_site_fract_z
Tl1 Tl 0.000 0.000 0.000
Ag1 Ag 0.000 0.000 0.500
W1 W 0.500 0.500 0.500
```

Calculated values
E_form in eV/atom: 1.788
DOS at the Fermi energy in states/eV/f.u.: 2.57

Entry 11:
Compound: CdTc2Se
Source: Alexandria via LeMat-Bulk
Functional: GGA-PBE
Structure: relaxed

```
data_CdTc2Se
_chemical_formula_sum 'Cd1 Tc2 Se1'
_symmetry_space_group_name_H-M 'P 1 2/m 1'
_symmetry_Int_Tables_number 10
_cell_length_a 3.083
_cell_length_b 3.841
_cell_length_c 5.899
_cell_angle_alpha 90.00
_cell_angle_beta 104.60
_cell_angle_gamma 90.00
loop_
_symmetry_equiv_pos_as_xyz
'x,y,z'
'-x,-y,-z'
'-x,y,-z'
'x,-y,z'
loop_
_atom_site_label
_atom_site_type_symbol
_atom_site_fract_x
_atom_site_fract_y
_atom_site_fract_z
Cd1 Cd 0.000 0.000 0.000
Tc1 Tc 0.350 0.500 0.716
Se1 Se 0.000 0.000 0.500
```

Calculated values
Uncorrected formation energy in meV per atom: 473
DOS at the Fermi energy in states/eV/f.u.: 3.15

Entry 12:
Compound: BaCdPdPb2
Source: Alexandria via LeMat-Bulk
Functional: GGA-PBE
Structure: relaxed

```
data_BaCdPdPb2
_chemical_formula_sum 'Ba1 Cd1 Pd1 Pb2'
_symmetry_space_group_name_H-M 'P 4/m m m'
_symmetry_Int_Tables_number 123
_symmetry_space_group_name_Hall '-P 4 2'
_cell_length_a 5.465
_cell_length_b 5.465
_cell_length_c 5.315
_cell_angle_alpha 90.00
_cell_angle_beta 90.00
_cell_angle_gamma 90.00
loop_
_atom_site_label
_atom_site_type_symbol
_atom_site_fract_x
_atom_site_fract_y
_atom_site_fract_z
Ba1 Ba 0.000 0.000 0.000
Cd1 Cd 0.500 0.500 0.000
Pd1 Pd 0.500 0.500 0.500
Pb1 Pb 0.000 0.500 0.500
```

Calculated values
E_form in eV/atom: -0.260
DOS at the Fermi energy in states/eV/f.u.: 2.89